# 1
5
Lattice="5.522 0.000 0.000 0.000 5.522 0.000 0.000 0.000 5.144" Properties=species:S:1:pos:R:3 comment="GGA-PBE La2MgTlIr, relaxed" m_tot_mub_per_fu=0.0 formation_enthalpy_0k_ev_per_fu=-2.18 pbc="T T T"
Ir 0.000 0.000 0.000
La 2.761 0.000 0.000
La 0.000 2.761 0.000
Mg 0.000 0.000 2.572
Tl 2.761 2.761 2.572

=====

# 2
5
Lattice="4.668 0.000 0.000 0.000 4.668 0.000 0.000 0.000 4.668" Properties=species:S:1:pos:R:3 comment="GGA-PBE DySc3H, relaxed" m_tot_mub_per_fu=0.0 pbc="T T T"
Sc 0.000 0.000 2.334
Sc 2.334 0.000 0.000
Sc 0.000 2.334 0.000
Dy 2.334 2.334 2.334
H 0.000 0.000 0.000

=====

# 3
12
Lattice="-4.481 -2.310 -0.382 1.360 -1.350 -7.797 4.202 -8.516 2.208" Properties=species:S:1:pos:R:3 comment="GGA-PBE SrTl2InPb2, relaxed" m_tot_mub_per_fu=0.0 formation_enthalpy_0k_ev_per_fu=-0.98 pbc="T T T"
Sr 3.003 -5.404 -2.545
Sr 3.197 -5.095 -6.698
Tl 2.418 -9.835 -2.351
Tl -1.904 -1.778 -0.366
Tl 1.222 -1.984 -2.340
Tl 4.613 -8.153 -4.814
Pb -0.310 -4.694 -1.433
Pb 1.433 -7.523 -4.773
Pb 1.628 -2.240 -5.553
Pb 3.943 -7.634 -0.082
In 0.831 -7.166 0.134
In -0.017 -4.744 -4.567

=====

# 4
13
Lattice="-3.486 -4.609 -4.296 2.577 -6.487 4.869 -6.460 5.325 3.075" Properties=species:S:1:pos:R:3 comment="GGA-PBE Ho2Pa3Te8, relaxed" m_tot_mub_per_fu=4.8 raw_formation_energy_ev_per_atom=-0.92 pbc="T T T"
Ho -3.698 -0.463 1.340
Ho -3.671 -5.308 2.308
Te -2.075 -3.035 0.851
Te -2.812 -2.161 6.047
Te -0.814 -6.211 3.235
Te -2.916 -6.893 -0.202
Te -6.555 0.440 0.413
Te -5.294 -2.737 2.797
Te -4.453 1.121 3.850
Te -4.557 -3.610 -2.399
Pa 0.601 -1.512 1.135
Pa 1.976 -4.975 3.734
Pa -1.743 -2.304 -2.148

=====

# 5
5
Lattice="4.793 0.000 0.000 0.000 4.793 0.000 0.000 0.000 4.793" Properties=species:S:1:pos:R:3 comment="GGA-PBE LaNb3Ir, relaxed" m_tot_mub_per_fu=0.0 formation_enthalpy_0k_ev_per_fu=10.01 pbc="T T T"
Nb 0.000 0.000 2.397
Nb 2.397 0.000 0.000
Nb 0.000 2.397 0.000
Ir 2.397 2.397 2.397
La 0.000 0.000 0.000

=====

# 6
5
Lattice="-1.289 2.069 4.557 -3.383 -3.150 0.473 3.300 -3.186 2.380" Properties=species:S:1:pos:R:3 comment="GGA-PBE AlSb2PdO, relaxed" m_tot_mub_per_fu=0.0 raw_formation_energy_ev_per_atom=0.53 pbc="T T T"
Sb -0.645 1.035 2.278
Sb 1.650 -1.593 1.190
O -0.686 -2.134 3.705
Pd 0.000 0.000 0.000
Al -1.692 -1.575 0.237

=====

| no. | Fermi-level density of states (states/eV/atom) | total DFT energy (no corrections) (Ha/atom) |
| --- | --- | --- |
| 1 | 0.87 | -0.1827 |
| 2 | 0.95 | -0.2027 |
| 3 | 0.41 | -0.1075 |
| 4 | 0.98 | -0.2112 |
| 5 | 1.46 | -0.2498 |
| 6 | 0.63 | -0.1432 |